Below is a geometry-optimized Mn2AgIr structure, with properties calculated at the PBE level.

Cell lengths 9.0330, 9.0330, 9.0330 Å; angles 17.45, 17.45, 17.45 degrees
Atoms (fractional coordinates):
Mn: 0.0000 0.0000 0.0000
Mn: 0.2593 0.2593 0.2593
Ag: 0.5045 0.5045 0.5045
Ir: 0.7442 0.7442 0.7442

Properties
space-group type	R3m (160)

=====

Below is a geometry-optimized Mn2AgIr structure, with properties calculated at the PBE level.

Cell lengths 2.9769, 2.9769, 7.0162 Å; angles 90.00, 90.00, 90.00 degrees
Atoms (fractional coordinates):
Mn: 0.0000 0.0000 0.2280
Mn: 0.0000 0.0000 0.7720
Ag: 0.5000 0.5000 0.5000
Ir: 0.5000 0.5000 0.0000

Properties
space-group type	P4/mmm (123)

=====

Below is a geometry-optimized Mn2AgIr structure, with properties calculated at the PBE level.

Cell lengths 8.8858, 8.8858, 8.8858 Å; angles 18.42, 18.42, 18.42 degrees
Atoms (fractional coordinates):
Mn: 0.2451 0.2451 0.2451
Mn: 0.7549 0.7549 0.7549
Ag: 0.0000 0.0000 0.0000
Ir: 0.5000 0.5000 0.5000

Properties
space-group type	R-3m (166)

=====

Below is a geometry-optimized MnAgIr2 structure, with properties calculated at the PBE level.

Cell lengths 5.6400, 5.6400, 5.6400 Å; angles 102.07, 102.07, 125.57 degrees
Atoms (fractional coordinates):
Mn: 0.0000 0.0000 0.0000
Mn: 0.7500 0.2500 0.5000
Ag: 0.2500 0.7500 0.5000
Ag: 0.5000 0.5000 0.0000
Ir: 0.0753 0.1250 0.4503
Ir: 0.3750 0.9247 0.0497
Ir: 0.6747 0.6250 0.5497
Ir: 0.8750 0.3253 0.9503

Properties
space-group type	I-42d (122)
energy relative to the lowest polymorph listed for this composition	487	meV/atom

=====

Below is a geometry-optimized MnAgIr2 structure, with properties calculated at the PBE level.

Cell lengths 9.1353, 9.1353, 9.1353 Å; angles 17.25, 17.25, 17.25 degrees
Atoms (fractional coordinates):
Mn: 0.0000 0.0000 0.0000
Ag: 0.5000 0.5000 0.5000
Ir: 0.2586 0.2586 0.2586
Ir: 0.7414 0.7414 0.7414

Properties
space-group type	R-3m (166)
energy relative to the lowest polymorph listed for this composition	0	meV/atom

=====

Below is a geometry-optimized MnAgIr2 structure, with properties calculated at the PBE level.

Cell lengths 2.7919, 3.8793, 5.6065 Å; angles 90.00, 90.00, 90.00 degrees
Atoms (fractional coordinates):
Mn: 0.0000 0.0000 0.0000
Ag: 0.5000 0.5000 0.2590
Ir: 0.0000 0.0000 0.5404
Ir: 0.5000 0.5000 0.7583

Properties
space-group type	Pmm2 (25)
energy relative to the lowest polymorph listed for this composition	79	meV/atom

=====

Below is a geometry-optimized MnAgIr2 structure, with properties calculated at the PBE level.

Cell lengths 2.7164, 2.7164, 7.8124 Å; angles 90.00, 90.00, 90.00 degrees
Atoms (fractional coordinates):
Mn: 0.0000 0.0000 0.0000
Ag: 0.0000 0.0000 0.5000
Ir: 0.5000 0.5000 0.2166
Ir: 0.5000 0.5000 0.7834

Properties
space-group type	P4/mmm (123)
energy relative to the lowest polymorph listed for this composition	27	meV/atom

=====

Below is a geometry-optimized Mn2AgIr structure, with properties calculated at the PBE level.

Cell lengths 4.5053, 4.5053, 3.0083 Å; angles 90.00, 90.00, 93.92 degrees
Atoms (fractional coordinates):
Mn: 0.0000 0.5000 0.0000
Mn: 0.5000 0.0000 0.0000
Ag: 0.0000 0.0000 0.5000
Ir: 0.5000 0.5000 0.5000

Properties
space-group type	Cmmm (65)

=====

Below is a geometry-optimized MnAgIr2 structure, with properties calculated at the PBE level.

Cell lengths 5.3837, 5.3837, 5.3837 Å; angles 149.19, 129.16, 60.64 degrees
Atoms (fractional coordinates):
Mn: 0.0000 0.0000 0.0000
Ag: 0.2592 0.7592 0.5000
Ir: 0.5264 0.5264 0.0000
Ir: 0.7644 0.2644 0.5000

Properties
space-group type	Imm2 (44)
energy relative to the lowest polymorph listed for this composition	228	meV/atom

=====

Below is a geometry-optimized Mn2AgIr structure, with properties calculated at the PBE level.

Cell lengths 2.7197, 2.7197, 7.7352 Å; angles 90.00, 90.00, 90.00 degrees
Atoms (fractional coordinates):
Mn: 0.0000 0.0000 0.0000
Mn: 0.5000 0.5000 0.2242
Ag: 0.0000 0.0000 0.4969
Ir: 0.5000 0.5000 0.7876

Properties
space-group type	P4mm (99)

=====

Below is a geometry-optimized MnAgIr2 structure, with properties calculated at the PBE level.

Cell lengths 9.1987, 9.1987, 9.1987 Å; angles 17.00, 17.00, 17.00 degrees
Atoms (fractional coordinates):
Mn: 0.0000 0.0000 0.0000
Ag: 0.7525 0.7525 0.7525
Ir: 0.2611 0.2611 0.2611
Ir: 0.5096 0.5096 0.5096

Properties
space-group type	R3m (160)
energy relative to the lowest polymorph listed for this composition	162	meV/atom

=====

Below is a geometry-optimized MnAgIr2 structure, with properties calculated at the PBE level.

Cell lengths 4.8946, 4.8946, 4.7280 Å; angles 103.86, 103.86, 33.13 degrees
Atoms (fractional coordinates):
Mn: 0.0000 0.0000 0.0000
Ag: 0.5000 0.5000 0.5000
Ir: 0.2681 0.2681 0.7675
Ir: 0.7319 0.7319 0.2325

Properties
space-group type	C2/m (12)
energy relative to the lowest polymorph listed for this composition	34	meV/atom

=====

no.,ΔE_f (meV/atom),raw total energy (eV/atom)
1,227.1,-7.286
2,101.7,-7.411
3,213.1,-7.300
4,582.4,-6.853
5,95.9,-7.340
6,174.9,-7.261
7,123.4,-7.312
8,122.8,-7.390
9,323.8,-7.112
10,191.5,-7.321
11,258.0,-7.178
12,130.1,-7.306